VASP calculation (PBE) on an optimized crystal structure of TaIn2Sb.

Volume (Å³/atom): 24.8
Total DFT energy (no corrections) (eV/cell): -20.7
DOS(E_F) (states/eV/cell): 1.8
ΔE_f (raw) (eV/atom): 0.184

a = 3.0881 Å, b = 3.0881 Å, c = 10.4227 Å
α = 90.00°, β = 90.00°, γ = 90.00°
Last column: nearest neighbours and their distance in Å.
Atoms (fractional coordinates):
Ta: 0.0000 0.0000 0.0000  4 Sb 3.04, 4 In 3.08, 4 Ta 3.09
In: 0.0000 0.0000 0.4661  4 In 3.09
In: 0.5000 0.5000 0.2082  4 Ta 3.08, 4 In 3.09
Sb: 0.5000 0.5000 0.7977  4 Ta 3.04, 4 Sb 3.09

=====

VASP calculation (PBE) on an optimized crystal structure of Ce2SmY3Se6.

Volume (Å³/atom): 25.1
Total DFT energy (no corrections) (eV/cell): -78.5
DOS(E_F) (states/eV/cell): 14.6
ΔE_f (raw) (eV/atom): -1.803

a = 7.1355 Å, b = 7.1355 Å, c = 7.2351 Å
α = 99.46°, β = 99.46°, γ = 120.08°
Last column: nearest neighbours and their distance in Å.
Atoms (fractional coordinates):
Ce: 0.1665 0.8335 0.0000  6 Se 2.96-2.97
Ce: 0.8335 0.1665 0.0000  6 Se 2.96-2.97
Sm: 0.5000 0.5000 0.0000  6 Se 2.96-2.97
Y: 0.0000 0.0000 0.5000  6 Se 2.89-2.90
Y: 0.3352 0.6648 0.5000  6 Se 2.88-2.91
Y: 0.6648 0.3352 0.5000  6 Se 2.88-2.91
Se: 0.0804 0.4133 0.7397  3 Y 2.89-2.91, 1 Sm 2.97, 2 Ce 2.97
Se: 0.2534 0.2534 0.2588  3 Y 2.88-2.90, 1 Sm 2.96, 2 Ce 2.96
Se: 0.4133 0.0804 0.7397  3 Y 2.89-2.91, 1 Sm 2.97, 2 Ce 2.97
Se: 0.5867 0.9196 0.2603  3 Y 2.89-2.91, 1 Sm 2.97, 2 Ce 2.97
Se: 0.7466 0.7466 0.7412  3 Y 2.88-2.90, 1 Sm 2.96, 2 Ce 2.96
Se: 0.9196 0.5867 0.2603  3 Y 2.89-2.91, 1 Sm 2.97, 2 Ce 2.97